Material: MnCrO2F
Method: DFT, GGA+U
State: relaxed

The value obtained for the density of states at the Fermi level is 0.072 states/eV per atom. The crystal system is tetragonal. The total energy is -34.934 eV per formula unit.

The space group is P4/mmm (No. 123) and the conventional cell measures 3.918, 3.918 and 3.791 Å, with angles of 90.00, 90.00 and 90.00 degrees. Symmetry generates all atoms from Mn at (0.000, 0.000, 0.000), Cr at (0.500, 0.500, 0.500), O at (0.000, 0.500, 0.500) and F at (0.500, 0.500, 0.000).